1.
# MgIn2Pt9 (PBE, relaxed)
# - raw total energy (eV per atom) = -5.570
# - D(E_F) (states/eV per atom) = 0.93
# - magnetic moment (μB/cell) = 0.00
data_MgIn2Pt9
_chemical_formula_sum 'Mg1 In2 Pt9'
_cell_length_a 4.0185
_cell_length_b 4.0185
_cell_length_c 12.0642
_cell_angle_alpha 90.00
_cell_angle_beta 90.00
_cell_angle_gamma 90.00
_space_group_name_H-M_alt 'P 1'
_space_group_IT_number 1
loop_
_space_group_symop_operation_xyz
'x,y,z'
loop_
_atom_site_label
_atom_site_type_symbol
_atom_site_fract_x
_atom_site_fract_y
_atom_site_fract_z
Mg1 Mg 0.0000 0.0000 0.0000
In1 In 0.0000 0.0000 0.3305
In2 In 0.0000 0.0000 0.6695
Pt1 Pt 0.0000 0.5000 0.1607
Pt2 Pt 0.0000 0.5000 0.5000
Pt3 Pt 0.0000 0.5000 0.8393
Pt4 Pt 0.5000 0.0000 0.1607
Pt5 Pt 0.5000 0.0000 0.5000
Pt6 Pt 0.5000 0.0000 0.8393
Pt7 Pt 0.5000 0.5000 0.0000
Pt8 Pt 0.5000 0.5000 0.3304
Pt9 Pt 0.5000 0.5000 0.6696



2.
# Mg4InPt15 (PBE, relaxed)
# - raw total energy (eV per atom) = -5.538
# - D(E_F) (states/eV per atom) = 0.95
# - magnetic moment (μB/cell) = 0.00
data_Mg4InPt15
_chemical_formula_sum 'Mg4 In1 Pt15'
_cell_length_a 3.9659
_cell_length_b 3.9659
_cell_length_c 20.0384
_cell_angle_alpha 90.00
_cell_angle_beta 90.00
_cell_angle_gamma 90.00
_space_group_name_H-M_alt 'P 1'
_space_group_IT_number 1
loop_
_space_group_symop_operation_xyz
'x,y,z'
loop_
_atom_site_label
_atom_site_type_symbol
_atom_site_fract_x
_atom_site_fract_y
_atom_site_fract_z
Mg1 Mg 0.0000 0.0000 0.0991
Mg2 Mg 0.0000 0.0000 0.2971
Mg3 Mg 0.0000 0.0000 0.7029
Mg4 Mg 0.0000 0.0000 0.9009
In1 In 0.0000 0.0000 0.5000
Pt1 Pt 0.0000 0.5000 0.0000
Pt2 Pt 0.0000 0.5000 0.1979
Pt3 Pt 0.0000 0.5000 0.3955
Pt4 Pt 0.0000 0.5000 0.6045
Pt5 Pt 0.0000 0.5000 0.8021
Pt6 Pt 0.5000 0.0000 0.0000
Pt7 Pt 0.5000 0.0000 0.1979
Pt8 Pt 0.5000 0.0000 0.3955
Pt9 Pt 0.5000 0.0000 0.6045
Pt10 Pt 0.5000 0.0000 0.8021
Pt11 Pt 0.5000 0.5000 0.0991
Pt12 Pt 0.5000 0.5000 0.2967
Pt13 Pt 0.5000 0.5000 0.5000
Pt14 Pt 0.5000 0.5000 0.7033
Pt15 Pt 0.5000 0.5000 0.9009



3.
# MgIn2Pt (PBE, relaxed)
# - raw total energy (eV per atom) = -3.552
# - D(E_F) (states/eV per atom) = 0.43
# - magnetic moment (μB/cell) = 0.00
data_MgIn2Pt
_chemical_formula_sum 'Mg1 In2 Pt1'
_cell_length_a 5.2388
_cell_length_b 5.2388
_cell_length_c 5.2388
_cell_angle_alpha 131.36
_cell_angle_beta 131.36
_cell_angle_gamma 71.24
_space_group_name_H-M_alt 'P 1'
_space_group_IT_number 1
loop_
_space_group_symop_operation_xyz
'x,y,z'
loop_
_atom_site_label
_atom_site_type_symbol
_atom_site_fract_x
_atom_site_fract_y
_atom_site_fract_z
Mg1 Mg 0.0000 0.0000 0.0000
In1 In 0.5000 0.5000 0.0000
In2 In 0.7500 0.2500 0.5000
Pt1 Pt 0.2500 0.7500 0.5000



4.
# Mg6InPt (PBE, relaxed)
# - D(E_F) (states/eV per atom) = 0.28
# - magnetic moment (μB/cell) = 0.00
# - excess energy over the best structure of this formula in the dataset (meV/atom) = 0
data_Mg6InPt
_chemical_formula_sum 'Mg6 In1 Pt1'
_cell_length_a 8.3508
_cell_length_b 8.3508
_cell_length_c 8.3508
_cell_angle_alpha 33.68
_cell_angle_beta 33.68
_cell_angle_gamma 33.68
_space_group_name_H-M_alt 'P 1'
_space_group_IT_number 1
loop_
_space_group_symop_operation_xyz
'x,y,z'
loop_
_atom_site_label
_atom_site_type_symbol
_atom_site_fract_x
_atom_site_fract_y
_atom_site_fract_z
Mg1 Mg 0.1166 0.1166 0.1166
Mg2 Mg 0.2497 0.2497 0.2497
Mg3 Mg 0.3691 0.3691 0.3691
Mg4 Mg 0.6309 0.6309 0.6309
Mg5 Mg 0.7503 0.7503 0.7503
Mg6 Mg 0.8834 0.8834 0.8834
In1 In 0.5000 0.5000 0.5000
Pt1 Pt 0.0000 0.0000 0.0000



5.
# Mg2InPt (PBE, relaxed)
# - raw total energy (eV per atom) = -3.450
# - D(E_F) (states/eV per atom) = 0.17
# - magnetic moment (μB/cell) = 0.00
data_Mg2InPt
_chemical_formula_sum 'Mg4 In2 Pt2'
_cell_length_a 6.2049
_cell_length_b 5.8871
_cell_length_c 5.8540
_cell_angle_alpha 63.80
_cell_angle_beta 58.36
_cell_angle_gamma 57.84
_space_group_name_H-M_alt 'P 1'
_space_group_IT_number 1
loop_
_space_group_symop_operation_xyz
'x,y,z'
loop_
_atom_site_label
_atom_site_type_symbol
_atom_site_fract_x
_atom_site_fract_y
_atom_site_fract_z
Mg1 Mg 0.2131 0.7869 0.7869
Mg2 Mg 0.2500 0.2500 0.2500
Mg3 Mg 0.7500 0.7500 0.7500
Mg4 Mg 0.7869 0.2131 0.2131
In1 In 0.2796 0.7204 0.2796
In2 In 0.7204 0.2796 0.7204
Pt1 Pt 0.2559 0.2559 0.7441
Pt2 Pt 0.7441 0.7441 0.2559



6.
# MgInPt (PBE, relaxed)
# - raw total energy (eV per atom) = -3.760
# - D(E_F) (states/eV per atom) = 0.33
# - magnetic moment (μB/cell) = 0.00
data_MgInPt
_chemical_formula_sum 'Mg1 In1 Pt1'
_cell_length_a 3.1426
_cell_length_b 3.1426
_cell_length_c 6.8244
_cell_angle_alpha 90.00
_cell_angle_beta 90.00
_cell_angle_gamma 120.00
_space_group_name_H-M_alt 'P 1'
_space_group_IT_number 1
loop_
_space_group_symop_operation_xyz
'x,y,z'
loop_
_atom_site_label
_atom_site_type_symbol
_atom_site_fract_x
_atom_site_fract_y
_atom_site_fract_z
Mg1 Mg 0.0000 0.0000 0.0000
In1 In 0.3333 0.6667 0.6154
Pt1 Pt 0.6667 0.3333 0.2926



7.
# MgInPt3 (PBE, relaxed)
# - D(E_F) (states/eV per atom) = 0.86
# - magnetic moment (μB/cell) = 0.00
# - excess energy over the best structure of this formula in the dataset (meV/atom) = 0
data_MgInPt3
_chemical_formula_sum 'Mg1 In1 Pt3'
_cell_length_a 4.6405
_cell_length_b 4.6405
_cell_length_c 4.6405
_cell_angle_alpha 90.00
_cell_angle_beta 90.00
_cell_angle_gamma 90.00
_space_group_name_H-M_alt 'P 1'
_space_group_IT_number 1
loop_
_space_group_symop_operation_xyz
'x,y,z'
loop_
_atom_site_label
_atom_site_type_symbol
_atom_site_fract_x
_atom_site_fract_y
_atom_site_fract_z
Mg1 Mg 0.0000 0.0000 0.0000
In1 In 0.5000 0.5000 0.5000
Pt1 Pt 0.0000 0.0000 0.5000
Pt2 Pt 0.0000 0.5000 0.0000
Pt3 Pt 0.5000 0.0000 0.0000



8.
# PuMgInPt (PBE, relaxed)
# - raw total energy (eV per atom) = -6.567
# - D(E_F) (states/eV per atom) = 2.14
# - magnetic moment (μB/cell) = 5.30
data_PuMgInPt
_chemical_formula_sum 'Pu1 Mg1 In1 Pt1'
_cell_length_a 4.9714
_cell_length_b 4.9714
_cell_length_c 4.9714
_cell_angle_alpha 60.00
_cell_angle_beta 60.00
_cell_angle_gamma 60.00
_space_group_name_H-M_alt 'P 1'
_space_group_IT_number 1
loop_
_space_group_symop_operation_xyz
'x,y,z'
loop_
_atom_site_label
_atom_site_type_symbol
_atom_site_fract_x
_atom_site_fract_y
_atom_site_fract_z
Pu1 Pu 0.0000 0.0000 0.0000
Mg1 Mg 0.5000 0.5000 0.5000
In1 In 0.7500 0.7500 0.7500
Pt1 Pt 0.2500 0.2500 0.2500



9.
# RbMgIn2Pt (PBE, relaxed)
# - raw total energy (eV per atom) = -3.088
# - D(E_F) (states/eV per atom) = 0.56
# - magnetic moment (μB/cell) = 0.00
data_RbMgIn2Pt
_chemical_formula_sum 'Rb1 Mg1 In2 Pt1'
_cell_length_a 5.2979
_cell_length_b 5.2979
_cell_length_c 5.2495
_cell_angle_alpha 90.00
_cell_angle_beta 90.00
_cell_angle_gamma 90.00
_space_group_name_H-M_alt 'P 1'
_space_group_IT_number 1
loop_
_space_group_symop_operation_xyz
'x,y,z'
loop_
_atom_site_label
_atom_site_type_symbol
_atom_site_fract_x
_atom_site_fract_y
_atom_site_fract_z
Rb1 Rb 0.0000 0.0000 0.0000
Mg1 Mg 0.5000 0.5000 0.0000
In1 In 0.0000 0.5000 0.5000
In2 In 0.5000 0.0000 0.5000
Pt1 Pt 0.5000 0.5000 0.5000



10.
# RbMg2InPt (PBE, relaxed)
# - raw total energy (eV per atom) = -2.912
# - D(E_F) (states/eV per atom) = 0.29
# - magnetic moment (μB/cell) = 0.00
data_RbMg2InPt
_chemical_formula_sum 'Rb1 Mg2 In1 Pt1'
_cell_length_a 5.2458
_cell_length_b 5.2458
_cell_length_c 5.2379
_cell_angle_alpha 90.00
_cell_angle_beta 90.00
_cell_angle_gamma 90.00
_space_group_name_H-M_alt 'P 1'
_space_group_IT_number 1
loop_
_space_group_symop_operation_xyz
'x,y,z'
loop_
_atom_site_label
_atom_site_type_symbol
_atom_site_fract_x
_atom_site_fract_y
_atom_site_fract_z
Rb1 Rb 0.0000 0.0000 0.0000
Mg1 Mg 0.0000 0.5000 0.5000
Mg2 Mg 0.5000 0.0000 0.5000
In1 In 0.5000 0.5000 0.0000
Pt1 Pt 0.5000 0.5000 0.5000



11.
# Mg5In2Pt2Rh (PBE, relaxed)
# - raw total energy (eV per atom) = -3.776
# - D(E_F) (states/eV per atom) = 0.39
# - magnetic moment (μB/cell) = 0.00
data_Mg5In2Pt2Rh
_chemical_formula_sum 'Mg10 In4 Pt4 Rh2'
_cell_length_a 11.2326
_cell_length_b 11.2326
_cell_length_c 3.0955
_cell_angle_alpha 90.00
_cell_angle_beta 90.00
_cell_angle_gamma 90.00
_space_group_name_H-M_alt 'P 1'
_space_group_IT_number 1
loop_
_space_group_symop_operation_xyz
'x,y,z'
loop_
_atom_site_label
_atom_site_type_symbol
_atom_site_fract_x
_atom_site_fract_y
_atom_site_fract_z
Mg1 Mg 0.0000 0.5000 0.0000
Mg2 Mg 0.0495 0.1885 0.0000
Mg3 Mg 0.1885 0.9505 0.0000
Mg4 Mg 0.3115 0.4505 0.0000
Mg5 Mg 0.4505 0.6885 0.0000
Mg6 Mg 0.5000 0.0000 0.0000
Mg7 Mg 0.5495 0.3115 0.0000
Mg8 Mg 0.6885 0.5495 0.0000
Mg9 Mg 0.8115 0.0495 0.0000
Mg10 Mg 0.9505 0.8115 0.0000
In1 In 0.1810 0.6810 0.5000
In2 In 0.3190 0.1810 0.5000
In3 In 0.6810 0.8190 0.5000
In4 In 0.8190 0.3190 0.5000
Pt1 Pt 0.1372 0.3628 0.5000
Pt2 Pt 0.3628 0.8628 0.5000
Pt3 Pt 0.6372 0.1372 0.5000
Pt4 Pt 0.8628 0.6372 0.5000
Rh1 Rh 0.0000 0.0000 0.5000
Rh2 Rh 0.5000 0.5000 0.5000



12.
# Mg3In3Pt2Rh (PBE, relaxed)
# - raw total energy (eV per atom) = -4.134
# - D(E_F) (states/eV per atom) = 0.40
# - magnetic moment (μB/cell) = 0.00
data_Mg3In3Pt2Rh
_chemical_formula_sum 'Mg3 In3 Pt2 Rh1'
_cell_length_a 7.6970
_cell_length_b 7.6970
_cell_length_c 3.2918
_cell_angle_alpha 90.00
_cell_angle_beta 90.00
_cell_angle_gamma 120.00
_space_group_name_H-M_alt 'P 1'
_space_group_IT_number 1
loop_
_space_group_symop_operation_xyz
'x,y,z'
loop_
_atom_site_label
_atom_site_type_symbol
_atom_site_fract_x
_atom_site_fract_y
_atom_site_fract_z
Mg1 Mg 0.0000 0.3870 0.0000
Mg2 Mg 0.3870 0.0000 0.0000
Mg3 Mg 0.6130 0.6130 0.0000
In1 In 0.0000 0.7186 0.5000
In2 In 0.2814 0.2814 0.5000
In3 In 0.7186 0.0000 0.5000
Pt1 Pt 0.3333 0.6667 0.5000
Pt2 Pt 0.6667 0.3333 0.5000
Rh1 Rh 0.0000 0.0000 0.0000